The following is a DFT calculation (PBE) of an optimized crystal structure of La3Ni3Pb.

Summary:
E, eV/atom: -5.540
Magnetic moment, Bohr magnetons per cell: 0.000
Formation enthalpy at 0 K, meV per atom: -421.1
Density of states at the Fermi level, states/eV per atom: 0.652

Structure (CIF):
```
data_La3Ni3Pb
_space_group_name_H-M_alt 'P 1'
_space_group_IT_number 1
_cell_length_a 4.100
_cell_length_b 9.977
_cell_length_c 9.977
_cell_angle_alpha 120.00
_cell_angle_beta 90.00
_cell_angle_gamma 90.00
loop_
_space_group_symop_operation_xyz
'x,y,z'
loop_
_atom_site_label
_atom_site_type_symbol
_atom_site_fract_x
_atom_site_fract_y
_atom_site_fract_z
_atom_site_occupancy
Ni1 Ni 0.750 0.018 0.152 1
Ni2 Ni 0.250 0.866 0.018 1
Pb1 Pb 0.250 0.667 0.333 1
Ni3 Ni 0.750 0.134 0.982 1
La1 La 0.750 0.690 0.055 1
Ni4 Ni 0.750 0.848 0.866 1
La2 La 0.250 0.634 0.690 1
Ni5 Ni 0.250 0.152 0.134 1
La3 La 0.250 0.055 0.366 1
Ni6 Ni 0.250 0.982 0.848 1
La4 La 0.250 0.310 0.945 1
La5 La 0.750 0.945 0.634 1
La6 La 0.750 0.366 0.310 1
Pb2 Pb 0.750 0.333 0.667 1
```



The following is a DFT calculation (PBE) of an optimized crystal structure of Be2NbRu2.

Summary:
E, eV/atom: -7.591
Magnetic moment, Bohr magnetons per cell: 0.000
Formation enthalpy at 0 K, meV per atom: -376.2
Density of states at the Fermi level, states/eV per atom: 0.419

Structure (CIF):
```
data_Be2NbRu2
_space_group_name_H-M_alt 'P 1'
_space_group_IT_number 1
_cell_length_a 6.458
_cell_length_b 6.458
_cell_length_c 2.936
_cell_angle_alpha 90.00
_cell_angle_beta 90.00
_cell_angle_gamma 90.00
loop_
_space_group_symop_operation_xyz
'x,y,z'
loop_
_atom_site_label
_atom_site_type_symbol
_atom_site_fract_x
_atom_site_fract_y
_atom_site_fract_z
_atom_site_occupancy
Be1 Be 0.881 0.619 0.000 1
Nb1 Nb 0.000 0.000 0.000 1
Ru1 Ru 0.171 0.671 0.500 1
Ru2 Ru 0.829 0.329 0.500 1
Be2 Be 0.119 0.381 0.000 1
Be3 Be 0.381 0.881 0.000 1
Ru3 Ru 0.329 0.171 0.500 1
Nb2 Nb 0.500 0.500 0.000 1
Ru4 Ru 0.671 0.829 0.500 1
Be4 Be 0.619 0.119 0.000 1
```



The following is a DFT calculation (PBE) of an optimized crystal structure of ZrRe2P.

Summary:
E, eV/atom: -9.496
Magnetic moment, Bohr magnetons per cell: 0.003
Formation enthalpy at 0 K, meV per atom: 217.7
Density of states at the Fermi level, states/eV per atom: 0.757

Structure (CIF):
```
data_ZrRe2P
_space_group_name_H-M_alt 'P 1'
_space_group_IT_number 1
_cell_length_a 4.688
_cell_length_b 4.688
_cell_length_c 3.151
_cell_angle_alpha 90.00
_cell_angle_beta 90.00
_cell_angle_gamma 111.14
loop_
_space_group_symop_operation_xyz
'x,y,z'
loop_
_atom_site_label
_atom_site_type_symbol
_atom_site_fract_x
_atom_site_fract_y
_atom_site_fract_z
_atom_site_occupancy
Zr1 Zr 0.000 0.000 0.500 1
Re1 Re 0.500 0.000 0.000 1
P1 P 0.500 0.500 0.500 1
Re2 Re 0.000 0.500 0.000 1
```



The following is a DFT calculation (PBE) of an optimized crystal structure of SrTl2Cl4.

Summary:
E, eV/atom: -3.593
Energy relative to the elements, uncorrected, eV/atom: -1.6214
Magnetic moment, Bohr magnetons per cell: 0.000
Density of states at the Fermi level, states/eV per atom: 0.000

Structure (CIF):
```
data_SrTl2Cl4
_space_group_name_H-M_alt 'P 1'
_space_group_IT_number 1
_cell_length_a 4.395
_cell_length_b 8.382
_cell_length_c 8.586
_cell_angle_alpha 122.86
_cell_angle_beta 104.83
_cell_angle_gamma 90.00
loop_
_space_group_symop_operation_xyz
'x,y,z'
loop_
_atom_site_label
_atom_site_type_symbol
_atom_site_fract_x
_atom_site_fract_y
_atom_site_fract_z
_atom_site_occupancy
Cl1 Cl 0.626 0.248 0.252 1
Cl2 Cl 0.119 0.846 0.237 1
Cl3 Cl 0.374 0.752 0.748 1
Sr1 Sr 0.000 0.000 0.000 1
Tl1 Tl 0.699 0.714 0.397 1
Tl2 Tl 0.301 0.286 0.603 1
Cl4 Cl 0.881 0.154 0.763 1
```



The following is a DFT calculation (PBE) of an optimized crystal structure of MnAsSe2.

Summary:
E, eV/atom: -5.019
Energy relative to the elements, uncorrected, eV/atom: 0.1780
Magnetic moment, Bohr magnetons per cell: 0.913
Density of states at the Fermi level, states/eV per atom: 0.898

Structure (CIF):
```
data_MnAsSe2
_space_group_name_H-M_alt 'P 1'
_space_group_IT_number 1
_cell_length_a 2.857
_cell_length_b 2.857
_cell_length_c 10.034
_cell_angle_alpha 90.00
_cell_angle_beta 90.00
_cell_angle_gamma 90.00
loop_
_space_group_symop_operation_xyz
'x,y,z'
loop_
_atom_site_label
_atom_site_type_symbol
_atom_site_fract_x
_atom_site_fract_y
_atom_site_fract_z
_atom_site_occupancy
As1 As 0.500 0.500 0.250 1
Mn1 Mn 0.500 0.500 0.750 1
Se1 Se 0.000 0.000 0.902 1
Se2 Se 0.000 0.000 0.598 1
```



The following is a DFT calculation (PBE) of an optimized crystal structure of Sr2CuReN.

Summary:
E, eV/atom: -5.693
Energy relative to the elements, uncorrected, eV/atom: -0.0465
Magnetic moment, Bohr magnetons per cell: 0.000
Density of states at the Fermi level, states/eV per atom: 0.892

Structure (CIF):
```
data_Sr2CuReN
_space_group_name_H-M_alt 'P 1'
_space_group_IT_number 1
_cell_length_a 5.422
_cell_length_b 5.422
_cell_length_c 3.846
_cell_angle_alpha 90.00
_cell_angle_beta 90.00
_cell_angle_gamma 90.00
loop_
_space_group_symop_operation_xyz
'x,y,z'
loop_
_atom_site_label
_atom_site_type_symbol
_atom_site_fract_x
_atom_site_fract_y
_atom_site_fract_z
_atom_site_occupancy
Sr1 Sr 0.000 0.500 0.000 1
Sr2 Sr 0.500 0.000 0.000 1
N1 N 0.000 0.000 0.000 1
Re1 Re 0.000 0.000 0.500 1
Cu1 Cu 0.500 0.500 0.500 1
```